Entry 1:
Density functional theory data (PBE) for a relaxed Ce4Nd3HoS8 crystal.

Lattice parameters (Å, degrees): 8.0510 8.0544 8.0503 119.98 120.00 90.00
With the nearest neighbours (Å) after each atom.
Sites, in units of the cell vectors:
1 Ce 0.5000 0.0000 0.0000  6 S 2.90
2 Ce 0.5000 0.0000 0.5000  6 S 2.83-2.84
3 Ce 0.0000 0.0000 0.0000  6 S 2.83-2.84
4 Ce 0.0000 0.0000 0.5000  6 S 2.83-2.84
5 Nd 0.5000 0.5000 0.0000  6 S 2.86
6 Nd 0.5000 0.5000 0.5000  6 S 2.86
7 Nd 0.0000 0.5000 0.5000  6 S 2.86
8 Ho 0.0000 0.5000 0.0000  6 S 2.79
9 S 0.2450 0.7471 0.0022  1 Ho 2.79, 3 Ce 2.84-2.90, 2 Nd 2.86
10 S 0.2450 0.7472 0.4900  1 Ho 2.79, 3 Ce 2.84-2.90, 2 Nd 2.86
11 S 0.2489 0.2467 0.4978  3 Ce 2.83, 3 Nd 2.86
12 S 0.7572 0.7471 0.0022  1 Ho 2.79, 3 Ce 2.84-2.90, 2 Nd 2.86
13 S 0.2428 0.2529 0.9978  1 Ho 2.79, 3 Ce 2.84-2.90, 2 Nd 2.86
14 S 0.7511 0.7533 0.5022  3 Ce 2.83, 3 Nd 2.86
15 S 0.7550 0.2528 0.5100  1 Ho 2.79, 3 Ce 2.84-2.90, 2 Nd 2.86
16 S 0.7550 0.2529 0.9978  1 Ho 2.79, 3 Ce 2.84-2.90, 2 Nd 2.86

Results
E	-6.757	eV/atom
space group	R-3m (166)

=====

Entry 2:
Density functional theory data (PBE) for a relaxed CeNd2HoS4 crystal.

Lattice parameters (Å, degrees): 3.9921 6.9693 6.9523 109.21 90.00 90.00
With the nearest neighbours (Å) after each atom.
Sites, in units of the cell vectors:
1 Ce 0.5000 0.5000 0.0000  6 S 2.82
2 Nd 0.5000 0.0000 0.5000  6 S 2.85
3 Nd 0.0000 0.5000 0.5000  6 S 2.90
4 Ho 0.0000 0.0000 0.0000  6 S 2.77
5 S 0.5000 0.2397 0.2368  2 Ho 2.77, 1 Ce 2.82, 3 Nd 2.85-2.90
6 S 0.5000 0.7603 0.7632  2 Ho 2.77, 1 Ce 2.82, 3 Nd 2.85-2.90
7 S 0.0000 0.2467 0.7585  1 Ho 2.77, 2 Ce 2.82, 3 Nd 2.85-2.90
8 S 0.0000 0.7533 0.2415  1 Ho 2.77, 2 Ce 2.82, 3 Nd 2.85-2.90

Results
E	-6.591	eV/atom
space group	P2/m (10)

=====

Entry 3:
Density functional theory data (PBE) for a relaxed Ce3Nd2HoS6 crystal.

Lattice parameters (Å, degrees): 6.9585 6.9585 6.9710 99.59 99.59 120.02
With the nearest neighbours (Å) after each atom.
Sites, in units of the cell vectors:
1 Ce 0.1700 0.8300 0.5000  6 S 2.83-2.88
2 Ce 0.8300 0.1700 0.5000  6 S 2.83-2.88
3 Ce 0.5000 0.5000 0.5000  6 S 2.83-2.90
4 Nd 0.3336 0.6664 0.0000  6 S 2.86-2.87
5 Nd 0.6664 0.3336 0.0000  6 S 2.86-2.87
6 Ho 0.0000 0.0000 0.0000  6 S 2.77-2.79
7 S 0.9183 0.5943 0.7542  1 Ho 2.77, 3 Ce 2.83-2.88, 2 Nd 2.86
8 S 0.7595 0.7595 0.2495  1 Ho 2.79, 3 Ce 2.85-2.90, 2 Nd 2.87
9 S 0.0817 0.4057 0.2458  1 Ho 2.77, 3 Ce 2.83-2.88, 2 Nd 2.86
10 S 0.5943 0.9183 0.7542  1 Ho 2.77, 3 Ce 2.83-2.88, 2 Nd 2.86
11 S 0.2405 0.2405 0.7505  1 Ho 2.79, 3 Ce 2.85-2.90, 2 Nd 2.87
12 S 0.4057 0.0817 0.2458  1 Ho 2.77, 3 Ce 2.83-2.88, 2 Nd 2.86

Results
E	-6.753	eV/atom
space group	C2/m (12)

=====

Entry 4:
Density functional theory data (PBE) for a relaxed CeNd3Ho3S8 crystal.

Lattice parameters (Å, degrees): 7.9348 7.9346 7.9773 119.83 90.00 120.00
With the nearest neighbours (Å) after each atom.
Sites, in units of the cell vectors:
1 Ce 0.0000 0.0000 0.5000  6 S 2.85
2 Nd 0.0000 0.0000 0.0000  6 S 2.87-2.88
3 Nd 0.0000 0.5000 0.0000  6 S 2.87-2.88
4 Nd 0.5000 0.5000 0.0000  6 S 2.87-2.88
5 Ho 0.5000 0.0000 0.5000  6 S 2.75
6 Ho 0.5000 0.5000 0.5000  6 S 2.75
7 Ho 0.0000 0.5000 0.5000  6 S 2.75
8 S 0.2553 0.5107 0.2660  3 Ho 2.75, 3 Nd 2.87
9 S 0.7447 0.4893 0.7340  3 Ho 2.75, 3 Nd 2.87
10 S 0.7471 0.4943 0.2587  2 Ho 2.75, 1 Ce 2.85, 2 Nd 2.88
11 S 0.2529 0.5057 0.7413  2 Ho 2.75, 1 Ce 2.85, 2 Nd 2.88
12 S 0.7472 0.0115 0.2587  2 Ho 2.75, 1 Ce 2.85, 2 Nd 2.88
13 S 0.2528 0.9885 0.7413  2 Ho 2.75, 1 Ce 2.85, 2 Nd 2.88
14 S 0.2644 0.0115 0.2587  2 Ho 2.75, 1 Ce 2.85, 2 Nd 2.88
15 S 0.7356 0.9885 0.7413  2 Ho 2.75, 1 Ce 2.85, 2 Nd 2.88

Results
E	-6.484	eV/atom
space group	R-3m (166)

=====

Entry 5:
Density functional theory data (PBE) for a relaxed CeNd2HoSb5 crystal.

Lattice parameters (Å, degrees): 5.2743 5.2743 11.7691 90.00 90.00 90.00
With the nearest neighbours (Å) after each atom.
Sites, in units of the cell vectors:
1 Ce 0.0000 0.0000 0.0000  2 Sb 2.92
2 Nd 0.5000 0.5000 0.2797  1 Sb 3.29
3 Nd 0.5000 0.5000 0.7203  1 Sb 3.29
4 Ho 0.0000 0.0000 0.5000  4 Sb 2.64
5 Sb 0.0000 0.5000 0.5000  2 Ho 2.64
6 Sb 0.5000 0.0000 0.5000  2 Ho 2.64
7 Sb 0.0000 0.0000 0.7515  1 Ce 2.92, 1 Ho 2.96
8 Sb 0.0000 0.0000 0.2485  1 Ce 2.92, 1 Ho 2.96
9 Sb 0.5000 0.5000 0.0000  2 Nd 3.29

Results
E	-4.838	eV/atom
space group	P4/mmm (123)

=====

Entry 6:
Density functional theory data (PBE) for a relaxed Ce2NdHoSb4 crystal.

Lattice parameters (Å, degrees): 4.4699 7.7521 7.7456 70.54 90.00 90.00
With the nearest neighbours (Å) after each atom.
Sites, in units of the cell vectors:
1 Ce 0.0000 0.0000 0.0000  6 Sb 3.19-3.20
2 Ce 0.5000 0.0000 0.5000  6 Sb 3.15
3 Nd 0.5000 0.5000 0.0000  6 Sb 3.18
4 Ho 0.0000 0.5000 0.5000  6 Sb 3.13
5 Sb 0.0000 0.7497 0.7452  1 Ho 3.13, 3 Ce 3.15-3.20, 2 Nd 3.18
6 Sb 0.0000 0.2503 0.2548  1 Ho 3.13, 3 Ce 3.15-3.20, 2 Nd 3.18
7 Sb 0.5000 0.7461 0.2561  2 Ho 3.13, 3 Ce 3.15-3.19, 1 Nd 3.18
8 Sb 0.5000 0.2539 0.7439  2 Ho 3.13, 3 Ce 3.15-3.19, 1 Nd 3.18

Results
E	-5.808	eV/atom
space group	P2/m (10)

=====

Entry 7:
Density functional theory data (PBE) for a relaxed Ce2NdHoSb5 crystal.

Lattice parameters (Å, degrees): 5.2864 5.2864 11.7288 90.00 90.00 90.00
With the nearest neighbours (Å) after each atom.
Sites, in units of the cell vectors:
1 Ce 0.5000 0.5000 0.2862  5 Sb 3.36-3.64
2 Ce 0.5000 0.5000 0.7138  5 Sb 3.36-3.64
3 Nd 0.0000 0.0000 0.0000  2 Sb 2.95
4 Ho 0.0000 0.0000 0.5000  6 Sb 2.64-2.92
5 Sb 0.0000 0.5000 0.5000  2 Ho 2.64
6 Sb 0.5000 0.0000 0.5000  2 Ho 2.64
7 Sb 0.0000 0.0000 0.7487  1 Ho 2.92, 1 Nd 2.95
8 Sb 0.0000 0.0000 0.2513  1 Ho 2.92, 1 Nd 2.95
9 Sb 0.5000 0.5000 0.0000  2 Ce 3.36, 4 Nd 3.74

Results
E	-4.966	eV/atom
space group	P4/mmm (123)

=====

Entry 8:
Density functional theory data (PBE) for a relaxed Ce3Nd2HoSb6 crystal.

Lattice parameters (Å, degrees): 7.7712 7.7712 7.7739 99.60 99.60 120.01
With the nearest neighbours (Å) after each atom.
Sites, in units of the cell vectors:
1 Ce 0.1688 0.8312 0.5000  6 Sb 3.16-3.19
2 Ce 0.8312 0.1688 0.5000  6 Sb 3.16-3.19
3 Ce 0.5000 0.5000 0.5000  6 Sb 3.16-3.21
4 Nd 0.3342 0.6658 0.0000  6 Sb 3.19
5 Nd 0.6658 0.3342 0.0000  6 Sb 3.19
6 Ho 0.0000 0.0000 0.0000  6 Sb 3.13-3.14
7 Sb 0.9174 0.5896 0.7513  1 Ho 3.13, 3 Ce 3.16-3.19, 2 Nd 3.19
8 Sb 0.7564 0.7564 0.2513  1 Ho 3.14, 3 Ce 3.17-3.21, 2 Nd 3.19
9 Sb 0.0826 0.4104 0.2487  1 Ho 3.13, 3 Ce 3.16-3.19, 2 Nd 3.19
10 Sb 0.5896 0.9174 0.7513  1 Ho 3.13, 3 Ce 3.16-3.19, 2 Nd 3.19
11 Sb 0.2436 0.2436 0.7487  1 Ho 3.14, 3 Ce 3.17-3.21, 2 Nd 3.19
12 Sb 0.4104 0.0826 0.2487  1 Ho 3.13, 3 Ce 3.16-3.19, 2 Nd 3.19

Results
E	-5.824	eV/atom
space group	C2/m (12)

=====

Entry 9:
Density functional theory data (PBE) for a relaxed CeNd2Ho3Se6 crystal.

Lattice parameters (Å, degrees): 4.0913 8.3876 9.3032 104.41 102.70 90.00
With the nearest neighbours (Å) after each atom.
Sites, in units of the cell vectors:
1 Ce 0.5000 0.0000 0.0000  6 Se 2.98-2.99
2 Nd 0.8340 0.6680 0.6680  6 Se 2.99-3.00
3 Nd 0.1660 0.3320 0.3320  6 Se 2.99-3.00
4 Ho 0.5000 0.5000 0.0000  6 Se 2.87
5 Ho 0.8325 0.1651 0.6650  6 Se 2.86-2.87
6 Ho 0.1675 0.8349 0.3350  6 Se 2.86-2.87
7 Se 0.3303 0.9257 0.6607  3 Ho 2.86, 1 Ce 2.98, 2 Nd 2.99
8 Se 0.6634 0.5928 0.3269  3 Ho 2.87, 3 Nd 3.00
9 Se 0.6697 0.0743 0.3393  3 Ho 2.86, 1 Ce 2.98, 2 Nd 2.99
10 Se 0.9960 0.2578 0.9920  3 Ho 2.87, 1 Nd 2.99, 2 Ce 2.99
11 Se 0.0040 0.7422 0.0080  3 Ho 2.87, 1 Nd 2.99, 2 Ce 2.99
12 Se 0.3366 0.4072 0.6731  3 Ho 2.87, 3 Nd 3.00

Results
E	-5.962	eV/atom
space group	C2/m (12)

=====

Entry 10:
Density functional theory data (PBE) for a relaxed CeNd2HoSe5 crystal.

Lattice parameters (Å, degrees): 5.1372 5.1372 11.0278 90.00 90.00 90.00
With the nearest neighbours (Å) after each atom.
Sites, in units of the cell vectors:
1 Ce 0.0000 0.0000 0.0000  2 Se 2.78
2 Nd 0.5000 0.5000 0.3307  4 Se 3.18
3 Nd 0.5000 0.5000 0.6693  4 Se 3.18
4 Ho 0.0000 0.0000 0.5000  6 Se 2.57-2.74
5 Se 0.0000 0.5000 0.5000  2 Ho 2.57
6 Se 0.5000 0.0000 0.5000  2 Ho 2.57
7 Se 0.0000 0.0000 0.7480  1 Ho 2.74, 1 Ce 2.78
8 Se 0.0000 0.0000 0.2520  1 Ho 2.74, 1 Ce 2.78
9 Se 0.5000 0.5000 0.0000  4 Ce 3.63, 2 Nd 3.65

Results
E	-5.453	eV/atom
space group	P4/mmm (123)

=====

Entry 11:
Density functional theory data (PBE) for a relaxed CeNd2SmHo crystal.

Lattice parameters (Å, degrees): 8.1112 6.7993 6.1353 90.10 90.00 90.00
With the nearest neighbours (Å) after each atom.
Sites, in units of the cell vectors:
1 Ce 0.0000 0.0000 0.0000  2 Ce 3.07, 2 Sm 3.28
2 Ce 0.0000 0.0000 0.5000  2 Ce 3.07, 2 Sm 3.28
3 Nd 0.6892 0.7327 0.7494  1 Nd 3.17, 1 Sm 3.25, 2 Ce 3.46-3.47
4 Nd 0.6892 0.2673 0.7506  1 Nd 3.17, 1 Sm 3.25, 2 Ce 3.46-3.47
5 Nd 0.3108 0.7327 0.2494  1 Nd 3.17, 1 Sm 3.25, 2 Ce 3.46-3.47
6 Nd 0.3108 0.2673 0.2506  1 Nd 3.17, 1 Sm 3.25, 2 Ce 3.46-3.47
7 Sm 0.6424 0.0000 0.2500  6 Nd 3.25-3.59, 2 Ce 3.28
8 Sm 0.3576 0.0000 0.7500  6 Nd 3.25-3.59, 2 Ce 3.28
9 Ho 0.1258 0.5000 0.7500  2 Ho 3.68, 6 Nd 3.76-3.88, 4 Ce 3.86-3.87, 2 Sm 3.88
10 Ho 0.8742 0.5000 0.2500  2 Ho 3.68, 6 Nd 3.76-3.88, 4 Ce 3.86-3.87, 2 Sm 3.88

Results
formation energy from the elements	0.28	eV per atom
space group	P2/c (13)

=====

Q: Number 5 is which compound?
A: CeNd2HoSb5